Entry 1:
## Pr6GaNi2Br3 (PBE)

Data for a geometry-optimized Pr6GaNi2Br3 structure.

a = 19.5561 Å, b = 4.0540 Å, c = 9.2215 Å
α = 90.00°, β = 107.80°, γ = 90.00°
Space group C2/m (No. 12)
One atom of each set of equivalent atoms:
Pr 0.0132 0.0000 0.2454 x4
Pr 0.1609 0.5000 0.1217 x4
Pr 0.1791 0.5000 0.5531 x4
Ga 0.0000 0.5000 0.0000 x2
Ni 0.1677 0.0000 0.3382 x4
Br 0.0000 0.5000 0.5000 x2
Br 0.1623 0.0000 0.8357 x4

Output
E_form (uncorrected) (kJ/mol of atoms): -78.4
DOS at the Fermi energy (states/eV/f.u.): 8.8
Electronic total energy (Ry/atom): -0.355


Entry 2:
## Si3Cl5 (PBE)

Data for a geometry-optimized Si3Cl5 structure.

a = 8.3774 Å, b = 11.6633 Å, c = 3.6755 Å
α = 90.00°, β = 90.00°, γ = 90.00°
Space group Cmmm (No. 65)
One atom of each set of equivalent atoms:
Si 0.0000 0.0000 0.0000 x2
Si 0.0000 0.3284 0.5000 x4
Cl 0.0000 0.5000 0.0000 x2
Cl 0.2005 0.0000 0.5000 x4
Cl 0.2500 0.2500 0.0000 x4

Output
E_form (uncorrected) (kJ/mol of atoms): 0.9
DOS at the Fermi energy (states/eV/f.u.): 2.6
Offset from the most stable computed form (meV/atom): 330
Electronic total energy (Ry/atom): -0.234


Entry 3:
## CaPtO6 (PBE)

Data for a geometry-optimized CaPtO6 structure.

a = 6.6269 Å, b = 11.4881 Å, c = 7.1395 Å
α = 90.00°, β = 90.11°, γ = 90.00°
Space group C2/c (No. 15)
One atom of each set of equivalent atoms:
Ca 0.0000 0.1668 0.2500 x4
Pt 0.0000 0.5000 0.0000 x4
O 0.0566 0.3574 0.3383 x8
O 0.1859 0.4005 0.8385 x8
O 0.2424 0.4572 0.6622 x8

Output
E_form (uncorrected) (kJ/mol of atoms): -74.4
DOS at the Fermi energy (states/eV/f.u.): 0.0
Electronic total energy (Ry/atom): -0.404


Entry 4:
## ReSe3Cl (PBE)

Data for a geometry-optimized ReSe3Cl structure.

a = 4.7446 Å, b = 4.7446 Å, c = 4.7446 Å
α = 90.00°, β = 90.00°, γ = 90.00°
Space group Pm-3m (No. 221)
One atom of each set of equivalent atoms:
Re 0.0000 0.0000 0.0000 x1
Se 0.0000 0.5000 0.5000 x3
Cl 0.5000 0.5000 0.5000 x1

Output
E_form (uncorrected) (kJ/mol of atoms): 181.0
DOS at the Fermi energy (states/eV/f.u.): 5.4
Offset from the most stable computed form (meV/atom): 1930
Electronic total energy (Ry/atom): -0.226


Entry 5:
## FeBi2I2 (PBE)

Data for a geometry-optimized FeBi2I2 structure.

a = 7.1354 Å, b = 7.1354 Å, c = 6.5151 Å
α = 90.00°, β = 90.00°, γ = 90.00°
Space group P4/mbm (No. 127)
One atom of each set of equivalent atoms:
Fe 0.0000 0.0000 0.0000 x2
Bi 0.2280 0.2720 0.5000 x4
I 0.1835 0.3165 0.0000 x4

Output
E_form (uncorrected) (kJ/mol of atoms): 39.4
DOS at the Fermi energy (states/eV/f.u.): 7.8
Offset from the most stable computed form (meV/atom): 0
Electronic total energy (Ry/atom): -0.254


Entry 6:
## InReO2 (PBE)

Data for a geometry-optimized InReO2 structure.

a = 2.8495 Å, b = 2.8495 Å, c = 22.3284 Å
α = 90.00°, β = 90.00°, γ = 120.00°
Space group R-3m (No. 166, hexagonal axes)
One atom of each set of equivalent atoms:
In 0.0000 0.0000 0.0000 x3
Re 0.0000 0.0000 0.5000 x3
O 0.0000 0.0000 0.1068 x6

Output
E_form (uncorrected) (kJ/mol of atoms): -77.0
DOS at the Fermi energy (states/eV/f.u.): 1.5
Electronic total energy (Ry/atom): -0.520


Entry 7:
## AgRuBr4 (PBE)

Data for a geometry-optimized AgRuBr4 structure.

a = 8.7479 Å, b = 8.7479 Å, c = 8.7479 Å
α = 90.00°, β = 90.00°, γ = 90.00°
Space group F-43m (No. 216)
One atom of each set of equivalent atoms:
Ag 0.0000 0.0000 0.0000 x4
Ru 0.2500 0.2500 0.2500 x4
Br 0.1246 0.1246 0.6246 x16

Output
E_form (uncorrected) (kJ/mol of atoms): 117.2
DOS at the Fermi energy (states/eV/f.u.): 11.2
Offset from the most stable computed form (meV/atom): 1477
Electronic total energy (Ry/atom): -0.141


Entry 8:
## Ac5La2PrDy (PBE)

Data for a geometry-optimized Ac5La2PrDy structure.

a = 8.4718 Å, b = 8.4718 Å, c = 20.9237 Å
α = 90.00°, β = 90.00°, γ = 90.00°
Space group I4/mcm (No. 140)
One atom of each set of equivalent atoms:
Ac 0.0000 0.0000 0.0000 x4
Ac 0.2286 0.2714 0.1381 x16
La 0.1217 0.3783 0.5000 x8
Pr 0.0000 0.0000 0.2500 x4
Dy 0.0000 0.5000 0.2500 x4

Output
DOS at the Fermi energy (states/eV/f.u.): 14.4
Formation energy (eV/atom): 0.2575
Electronic total energy (Ry/atom): -0.306


Entry 9:
## Na2TbErO4 (PBE)

Data for a geometry-optimized Na2TbErO4 structure.

a = 5.9184 Å, b = 3.4199 Å, c = 5.9239 Å
α = 90.00°, β = 109.49°, γ = 90.00°
Space group P2/m (No. 10)
One atom of each set of equivalent atoms:
Na 0.0000 0.0000 0.0000 x1
Na 0.0000 0.5000 0.5000 x1
Tb 0.5000 0.0000 0.5000 x1
Er 0.5000 0.5000 0.0000 x1
O 0.2889 0.5000 0.2593 x2
O 0.2899 0.0000 0.7667 x2

Output
E_form (uncorrected) (kJ/mol of atoms): -270.9
DOS at the Fermi energy (states/eV/f.u.): 0.0
Electronic total energy (Ry/atom): -0.497


Entry 10:
## La12Nd2Ho5 (PBE)

Data for a geometry-optimized La12Nd2Ho5 structure.

a = 19.6425 Å, b = 7.6358 Å, c = 10.1183 Å
α = 90.00°, β = 118.28°, γ = 90.00°
Space group C2/m (No. 12)
One atom of each set of equivalent atoms:
La 0.0001 0.0000 0.2055 x4
La 0.0168 0.5000 0.3640 x4
La 0.1606 0.2499 0.8455 x8
La 0.1636 0.2305 0.4908 x8
Nd 0.0000 0.2994 0.0000 x4
Ho 0.0000 0.0000 0.5000 x2
Ho 0.1772 0.0000 0.1723 x4
Ho 0.1814 0.5000 0.1930 x4

Output
DOS at the Fermi energy (states/eV/f.u.): 29.9
Formation energy (eV/atom): 0.1520
Offset from the most stable computed form (meV/atom): 51
Electronic total energy (Ry/atom): -0.343


Entry 11:
## CoTe4Pt (PBE)

Data for a geometry-optimized CoTe4Pt structure.

a = 8.6732 Å, b = 8.6732 Å, c = 8.6732 Å
α = 90.00°, β = 90.00°, γ = 90.00°
Space group F-43m (No. 216)
One atom of each set of equivalent atoms:
Co 0.0000 0.0000 0.0000 x4
Te 0.1243 0.1243 0.3757 x16
Pt 0.2500 0.2500 0.7500 x4

Output
E_form (uncorrected) (kJ/mol of atoms): 116.2
DOS at the Fermi energy (states/eV/f.u.): 8.6
Offset from the most stable computed form (meV/atom): 1510
Electronic total energy (Ry/atom): -0.226


Entry 12:
## KAs (PBE)

Data for a geometry-optimized KAs structure.

a = 9.3696 Å, b = 4.4884 Å, c = 6.3852 Å
α = 90.00°, β = 90.00°, γ = 90.00°
Space group Pnma (No. 62)
One atom of each set of equivalent atoms:
K 0.1799 0.2500 0.1007 x4
As 0.0249 0.2500 0.5864 x4

Output
DOS at the Fermi energy (states/eV/f.u.): 0.9
Formation energy (eV/atom): -0.4115
Offset from the most stable computed form (meV/atom): 52
Electronic total energy (Ry/atom): -0.241


Which value of DOS at the Fermi energy does entry 11 give?
8.6 states/eV/f.u.


Look up the DOS at the Fermi energy of the twelfth one.
0.9 states/eV/f.u.


What did the first record say?
## Pr6GaNi2Br3 (PBE)

Data for a geometry-optimized Pr6GaNi2Br3 structure.

a = 19.5561 Å, b = 4.0540 Å, c = 9.2215 Å
α = 90.00°, β = 107.80°, γ = 90.00°
Space group C2/m (No. 12)
One atom of each set of equivalent atoms:
Pr 0.0132 0.0000 0.2454 x4
Pr 0.1609 0.5000 0.1217 x4
Pr 0.1791 0.5000 0.5531 x4
Ga 0.0000 0.5000 0.0000 x2
Ni 0.1677 0.0000 0.3382 x4
Br 0.0000 0.5000 0.5000 x2
Br 0.1623 0.0000 0.8357 x4

Output
E_form (uncorrected) (kJ/mol of atoms): -78.4
DOS at the Fermi energy (states/eV/f.u.): 8.8
Electronic total energy (Ry/atom): -0.355


Which formula does entry 6 have?
InReO2